First-principles (PBE) data for a relaxed Y2HfCuCl crystal, as listed in Alexandria.

Cell lengths 5.080, 4.713, 5.080 Å; angles 90.00, 90.00, 90.00 degrees
Sites, in units of the cell vectors:
Cu (0.500, 0.500, 0.500)
Y (0.500, 0.000, 0.000)
Y (0.000, 0.000, 0.500)
Cl (0.000, 0.000, 0.000)
Hf (0.000, 0.500, 0.000)

E above lowest polymorph: 0.0000 eV/atom
Fermi-level density of states: 2.42 states/eV/f.u.
M_tot: 0.000 μB/atom
uncorrected formation energy: 0.02 eV per atom
E: -5.749 eV per atom